# Ac4N3

A relaxed structure of Ac4N3 (GGA-PBE, Alexandria via LeMat-Bulk).

POSCAR file:
```
Ac4N3
1.0
-1.079 -5.298 1.076
1.410 -1.335 -5.160
5.219 -0.735 1.616
Ac N
4 3
direct
0.000 0.000 0.000
0.000 0.500 0.500
0.500 0.000 0.500
0.500 0.500 0.000
0.000 0.500 0.000
0.000 0.000 0.500
0.500 0.000 0.000
```

Summary:
Excess energy over the best structure of this formula in the dataset = 45.1 meV/atom


# KLiAcBi

A relaxed structure of KLiAcBi (GGA-PBE, Alexandria via LeMat-Bulk).

POSCAR file:
```
KLiAcBi
1.0
-4.457 -2.221 -3.097
-0.353 -5.785 -0.894
-4.164 -3.133 2.688
K Ac Bi Li
1 1 1 1
direct
0.750 0.750 0.750
0.250 0.250 0.250
0.500 0.500 0.500
0.000 0.000 0.000
```

Summary:
Energy relative to the elements = -0.9 eV per formula unit


# CsCrGe2Au

A relaxed structure of CsCrGe2Au (GGA-PBE, Alexandria via LeMat-Bulk).

POSCAR file:
```
CsCrGe2Au
1.0
-4.209 2.143 0.746
-3.100 -5.326 -2.192
-0.111 -1.764 4.443
Cs Cr Ge Au
1 1 2 1
direct
0.000 0.500 0.000
0.000 0.000 0.000
0.000 0.000 0.500
0.500 0.000 0.000
0.500 0.500 0.500
```

Summary:
Energy relative to the elements = 2.7 eV per formula unit


# La2ThGa4

A relaxed structure of La2ThGa4 (GGA-PBE, Alexandria via LeMat-Bulk).

POSCAR file:
```
La2ThGa4
1.0
4.123 0.000 -0.940
-0.228 4.274 -0.998
0.135 0.108 10.102
Ga Th La
4 1 2
direct
0.638 0.638 0.275
0.362 0.362 0.725
0.064 0.564 0.128
0.936 0.436 0.872
0.500 0.000 0.000
0.816 0.816 0.632
0.184 0.184 0.368
```

Summary:
Energy relative to the elements = -4.3 eV per formula unit


Copy entry 3 word for word.
# CsCrGe2Au

A relaxed structure of CsCrGe2Au (GGA-PBE, Alexandria via LeMat-Bulk).

POSCAR file:
```
CsCrGe2Au
1.0
-4.209 2.143 0.746
-3.100 -5.326 -2.192
-0.111 -1.764 4.443
Cs Cr Ge Au
1 1 2 1
direct
0.000 0.500 0.000
0.000 0.000 0.000
0.000 0.000 0.500
0.500 0.000 0.000
0.500 0.500 0.500
```

Summary:
Energy relative to the elements = 2.7 eV per formula unit